(1)
PBE-GGA CeMgCd4, optimized geometry; E_form = -0.12 eV per atom; symmetry = Cmcm, No. 63
1.0
-4.028 -1.091 2.080
-1.152 -5.045 -4.879
6.228 -5.330 4.040
Cd Ce Mg
8 2 2
Direct
0.064 0.750 0.129
0.668 0.548 0.335
0.668 0.952 0.335
0.332 0.048 0.665
0.500 0.500 0.000
0.936 0.250 0.871
0.500 0.000 0.000
0.332 0.452 0.665
0.878 0.750 0.756
0.122 0.250 0.244
0.228 0.750 0.456
0.772 0.250 0.544


(2)
PBE-GGA Ce2SmCu2Si2, optimized geometry; symmetry = R-3m, No. 166; formation energy (no corrections) = -0.50 eV/atom
1.0
4.174 0.000 0.000
2.087 3.615 0.000
2.087 1.205 9.182
Cu Sm Si Ce
2 1 2 2
Direct
0.405 0.405 0.784
0.595 0.595 0.216
0.000 0.000 0.000
0.262 0.262 0.215
0.738 0.738 0.785
0.140 0.140 0.580
0.860 0.860 0.420


| no. | V (A^3/atom) |
| --- | --- |
| 1 | 24.420 |
| 2 | 19.789 |